Crystalline ZnTc at its relaxed geometry. Source: OQMD via LeMat-Bulk, functional GGA-PBE.

Output
The distance to the lowest polymorph of the same formula is 10 kJ/mol of formula units. Its formation energy is 0.022 eV/atom. The total moment is 0.02 μB per cell. The theoretical density is 9.479 g/cm³. Its space group is Pmmn.

a b c (Å): 9.3739 2.8023 4.3590
angles (deg): 90.00 90.00 90.00
Closest atoms and distances in Å follow each position.
Fractional positions:
Tc 0.2528 0.5000 0.0000  6 Tc 2.66-2.80, 6 Zn 2.72-2.73
Tc 0.5012 0.0000 0.0000  10 Tc 2.66-2.80, 2 Zn 2.73
Tc 0.4155 0.5000 0.5000  10 Tc 2.66-2.80, 2 Zn 2.73
Tc 0.6639 0.0000 0.5000  6 Tc 2.66-2.80, 6 Zn 2.72-2.73
Zn 0.9135 0.5000 0.5000  10 Zn 2.66-2.80, 2 Tc 2.73
Zn 0.0031 0.0000 0.0000  10 Zn 2.66-2.80, 2 Tc 2.73
Zn 0.1659 0.0000 0.5000  6 Zn 2.66-2.80, 6 Tc 2.72-2.73
Zn 0.7507 0.5000 0.0000  6 Zn 2.66-2.80, 6 Tc 2.72-2.73